No. 1
A relaxed structure of CaHo2Au, computed with GGA-PBE.

```
CaHo2Au
1.0
1.926 1.112 10.012
-1.926 1.112 10.012
0.000 -2.224 10.012
Ca Ho Au
1 2 1
Direct
0.000 0.000 0.000 Ca
0.229 0.229 0.229 Ho
0.771 0.771 0.771 Ho
0.500 0.500 0.500 Au
```

Properties
E_form (kJ per mole of atoms): -25.4
Symmetry: R-3m
M_tot (μB per formula unit): 0.0
Polymorph energy (0 for the lowest one) (meV per atom): 91



No. 2
A relaxed structure of CaHoAu2, computed with GGA-PBE.

```
CaHoAu2
1.0
3.613 0.000 0.000
0.000 3.613 0.000
0.000 0.000 7.268
Ca Ho Au
1 1 2
Direct
0.000 0.000 0.000 Ca
0.000 0.000 0.500 Ho
0.500 0.500 0.273 Au
0.500 0.500 0.727 Au
```

Properties
E_form (kJ per mole of atoms): -81.4
Symmetry: P4/mmm
M_tot (μB per formula unit): 0.0



No. 3
A relaxed structure of Ca2HoAu, computed with GGA-PBE.

```
Ca2HoAu
1.0
1.862 1.075 11.084
-1.862 1.075 11.084
0.000 -2.150 11.084
Ca Ho Au
2 1 1
Direct
0.105 0.105 0.105 Ca
0.895 0.895 0.895 Ca
0.000 0.000 0.000 Ho
0.500 0.500 0.500 Au
```

Properties
E_form (kJ per mole of atoms): -7.1
Symmetry: R-3m
M_tot (μB per formula unit): 0.5
Polymorph energy (0 for the lowest one) (meV per atom): 227



No. 4
A relaxed structure of CaHoAu, computed with GGA-PBE.

```
CaHoAu
1.0
4.880 0.000 0.000
-2.440 4.226 0.000
0.000 0.000 4.258
Ca Ho Au
1 1 1
Direct
0.000 0.000 0.000 Ca
0.333 0.667 0.494 Ho
0.667 0.333 0.601 Au
```

Properties
E_form (kJ per mole of atoms): -35.5
Symmetry: P3m1
M_tot (μB per formula unit): 0.0
Polymorph energy (0 for the lowest one) (meV per atom): 177



No. 5
A relaxed structure of Ca2Ho2Au3, computed with GGA-PBE.

```
Ca2Ho2Au3
1.0
2.538 1.465 8.314
-2.538 1.465 8.314
0.000 -2.930 8.314
Ca Ho Au
2 2 3
Direct
0.125 0.125 0.125 Ca
0.875 0.875 0.875 Ca
0.377 0.377 0.377 Ho
0.623 0.623 0.623 Ho
0.261 0.261 0.261 Au
0.500 0.500 0.500 Au
0.739 0.739 0.739 Au
```

Properties
E_form (kJ per mole of atoms): -66.4
Symmetry: R-3m
M_tot (μB per formula unit): 0.0



No. 6
A relaxed structure of CaHo2Au, computed with GGA-PBE.

```
CaHo2Au
1.0
3.607 0.000 0.000
0.000 3.607 0.000
0.000 0.000 9.290
Ca Ho Au
1 2 1
Direct
0.000 0.000 0.000 Ca
0.500 0.500 0.316 Ho
0.500 0.500 0.684 Ho
0.000 0.000 0.500 Au
```

Properties
E_form (kJ per mole of atoms): -34.2
Symmetry: P4/mmm
M_tot (μB per formula unit): 0.0
Polymorph energy (0 for the lowest one) (meV per atom): 0



No. 7
A relaxed structure of CaHo5Au6, computed with GGA-PBE.

```
CaHo5Au6
1.0
8.025 -3.588 0.000
8.025 3.588 0.000
-1.580 0.000 4.817
Ca Ho Au
1 5 6
Direct
0.000 0.000 0.000 Ca
0.162 0.162 0.662 Ho
0.332 0.332 0.332 Ho
0.500 0.500 0.000 Ho
0.668 0.668 0.668 Ho
0.838 0.838 0.338 Ho
0.087 0.569 0.828 Au
0.264 0.736 0.500 Au
0.431 0.913 0.172 Au
0.569 0.087 0.828 Au
0.736 0.264 0.500 Au
0.913 0.431 0.172 Au
```

Properties
E_form (kJ per mole of atoms): -83.2
Symmetry: C2/m
M_tot (μB per formula unit): 0.0



No. 8
A relaxed structure of CaHoAu, computed with GGA-PBE.

```
CaHoAu
1.0
-1.822 1.822 6.408
1.822 -1.822 6.408
1.822 1.822 -6.408
Ca Ho Au
1 1 1
Direct
0.000 0.000 0.000 Ca
0.271 0.271 0.000 Ho
0.655 0.655 0.000 Au
```

Properties
E_form (kJ per mole of atoms): -52.6
Symmetry: I4mm
M_tot (μB per formula unit): 0.0
Polymorph energy (0 for the lowest one) (meV per atom): 0



No. 9
A relaxed structure of CaHoAu2, computed with GGA-PBE.

```
CaHoAu2
1.0
2.037 1.176 7.430
-2.037 1.176 7.430
0.000 -2.352 7.430
Ca Ho Au
1 1 2
Direct
0.000 0.000 0.000 Ca
0.169 0.169 0.169 Ho
0.580 0.580 0.580 Au
0.756 0.756 0.756 Au
```

Properties
E_form (kJ per mole of atoms): -69.0
Symmetry: R3m
M_tot (μB per formula unit): 0.0



No. 10
A relaxed structure of CaHoAu, computed with GGA-PBE.

```
CaHoAu
1.0
0.000 3.535 3.535
3.535 0.000 3.535
3.535 3.535 0.000
Ca Ho Au
1 1 1
Direct
0.000 0.000 0.000 Ca
0.500 0.500 0.500 Ho
0.250 0.250 0.250 Au
```

Properties
E_form (kJ per mole of atoms): -43.3
Symmetry: F-43m
M_tot (μB per formula unit): 0.0
Polymorph energy (0 for the lowest one) (meV per atom): 97



No. 11
A relaxed structure of CaHoInAu, computed with GGA-PBE.

```
CaHoInAu
1.0
3.689 0.000 0.000
0.000 3.689 0.000
0.000 0.000 7.549
Ca Ho In Au
1 1 1 1
Direct
0.000 0.000 0.000 Ca
0.000 0.000 0.462 Ho
0.500 0.500 0.722 In
0.500 0.500 0.260 Au
```

Properties
E_form (kJ per mole of atoms): -63.7
Symmetry: P4mm
M_tot (μB per formula unit): 0.0
Polymorph energy (0 for the lowest one) (meV per atom): 0



No. 12
A relaxed structure of CaHoIn2Au4, computed with GGA-PBE.

```
CaHoIn2Au4
1.0
2.484 1.434 8.065
-2.484 1.434 8.065
0.000 -2.868 8.065
Ca Ho In Au
1 1 2 4
Direct
0.000 0.000 0.000 Ca
0.500 0.500 0.500 Ho
0.252 0.252 0.252 In
0.748 0.748 0.748 In
0.129 0.129 0.129 Au
0.378 0.378 0.378 Au
0.622 0.622 0.622 Au
0.871 0.871 0.871 Au
```

Properties
E_form (kJ per mole of atoms): -62.9
Symmetry: R-3m
M_tot (μB per formula unit): 0.0